i | La2AgTe4 | PBE | relaxed

a = 7.939 Å, b = 6.348 Å, c = 9.161 Å
α = 90.00°, β = 106.64°, γ = 90.00°
Fractional positions:
La1 0.249 0.250 0.436
La2 0.227 0.250 0.931
La3 0.751 0.750 0.564
La4 0.773 0.750 0.069
Te1 0.072 0.750 0.411
Te2 0.522 0.009 0.251
Te3 0.522 0.491 0.251
Te4 0.478 0.509 0.749
Te5 0.933 0.250 0.127
Te6 0.067 0.750 0.873
Te7 0.478 0.991 0.749
Te8 0.928 0.250 0.589
Ag1 0.780 0.250 0.822
Ag2 0.220 0.750 0.178

Properties
- Space-group type: P2_1/m (11)
- Calculated density: 6.727 g/cm3


ii | La2AgTe4 | PBE | relaxed

a = 5.284 Å, b = 5.284 Å, c = 9.288 Å
α = 73.47°, β = 73.47°, γ = 90.00°
Fractional positions:
Te1 0.500 0.000 0.000
Te2 0.185 0.185 0.631
Te3 0.815 0.815 0.369
Te4 0.000 0.500 0.000
La1 0.632 0.632 0.737
La2 0.368 0.368 0.263
Ag1 0.000 0.000 0.000

Properties
- Space-group type: I4/mmm (139)
- Calculated density: 6.267 g/cm3


Stability check: which of them is most stable? i.


i | La2Ag2Te | PBE | relaxed

a = 3.947 Å, b = 3.947 Å, c = 9.461 Å
α = 77.96°, β = 77.96°, γ = 90.00°
Fractional positions:
Ag1 0.750 0.250 0.500
Ag2 0.250 0.750 0.500
La1 0.393 0.393 0.214
La2 0.607 0.607 0.786
Te1 0.000 0.000 0.000

Properties
- Space-group type: I4/mmm (139)
- Calculated density: 7.325 g/cm3


ii | La2Ag2Te | PBE | relaxed

a = 8.513 Å, b = 8.513 Å, c = 4.264 Å
α = 90.00°, β = 90.00°, γ = 90.00°
Fractional positions:
Te1 0.000 0.000 0.000
Te2 0.500 0.500 0.000
La1 0.672 0.172 0.000
La2 0.328 0.828 0.000
La3 0.172 0.328 0.000
La4 0.828 0.672 0.000
Ag1 0.880 0.380 0.500
Ag2 0.380 0.120 0.500
Ag3 0.120 0.620 0.500
Ag4 0.620 0.880 0.500

Properties
- Space-group type: P4/mbm (127)
- Calculated density: 6.676 g/cm3


iii | La2Ag2Te | PBE | relaxed

a = 8.265 Å, b = 8.265 Å, c = 4.123 Å
α = 90.00°, β = 90.00°, γ = 90.00°
Fractional positions:
Ag1 0.881 0.619 0.000
Ag2 0.119 0.381 0.000
Ag3 0.619 0.119 0.000
Ag4 0.381 0.881 0.000
La1 0.823 0.323 0.500
La2 0.323 0.177 0.500
La3 0.677 0.823 0.500
La4 0.177 0.677 0.500
Te1 0.000 0.000 0.000
Te2 0.500 0.500 0.000

Properties
- Space-group type: P4/mbm (127)
- Calculated density: 7.324 g/cm3


Stability check: which of them is most stable? i.


i | LaAg2Te2 | PBE | relaxed

a = 5.451 Å, b = 5.451 Å, c = 6.039 Å
α = 63.17°, β = 63.17°, γ = 90.00°
Fractional positions:
Te1 0.750 0.250 0.500
Te2 0.250 0.750 0.500
La1 0.000 0.000 0.000
Ag1 0.644 0.644 0.712
Ag2 0.356 0.356 0.288

Properties
- Space-group type: I4/mmm (139)
- Calculated density: 7.330 g/cm3


ii | LaAg2Te2 | PBE | relaxed

a = 4.151 Å, b = 4.151 Å, c = 8.210 Å
α = 75.36°, β = 75.36°, γ = 90.00°
Fractional positions:
La1 0.000 0.000 0.000
Ag1 0.250 0.750 0.500
Ag2 0.750 0.250 0.500
Te1 0.611 0.611 0.778
Te2 0.389 0.389 0.222

Properties
- Space-group type: I4/mmm (139)
- Calculated density: 7.666 g/cm3


Stability check: which of them is most stable? ii.


i | LaTh2Ag | PBE | relaxed

a = 3.680 Å, b = 3.680 Å, c = 8.942 Å
α = 90.00°, β = 90.00°, γ = 90.00°
Fractional positions:
Th1 0.000 0.000 0.219
Th2 0.000 0.000 0.781
La1 0.500 0.500 0.500
Ag1 0.500 0.500 0.000

Properties
- Space-group type: P4/mmm (123)
- Calculated density: 9.750 g/cm3


ii | LaTh2Ag | PBE | relaxed

a = 3.433 Å, b = 3.433 Å, c = 12.112 Å
α = 81.85°, β = 81.85°, γ = 60.00°
Fractional positions:
La1 0.000 0.000 0.000
Ag1 0.500 0.500 0.500
Th1 0.095 0.095 0.715
Th2 0.905 0.905 0.285

Properties
- Space-group type: R-3m (166)
- Calculated density: 9.680 g/cm3


Stability check: which of them is most stable? i.


i | LaThAg4 | PBE | relaxed

a = 5.806 Å, b = 5.806 Å, c = 5.806 Å
α = 60.00°, β = 60.00°, γ = 60.00°
Fractional positions:
Ag1 0.625 0.625 0.125
Ag2 0.625 0.125 0.625
Ag3 0.125 0.625 0.625
Ag4 0.625 0.625 0.625
La1 0.250 0.250 0.250
Th1 0.000 0.000 0.000

Properties
- Space-group type: F-43m (216)
- Calculated density: 9.629 g/cm3


ii | LaThAg4 | PBE | relaxed

a = 3.477 Å, b = 4.873 Å, c = 8.491 Å
α = 90.00°, β = 90.00°, γ = 90.00°
Fractional positions:
Th1 0.999 0.497 0.998
La1 0.999 0.997 0.498
Ag1 0.499 0.497 0.330
Ag2 0.499 0.997 0.833
Ag3 0.499 0.497 0.666
Ag4 0.499 0.997 0.163

Properties
- Space-group type: Pmmm (47)
- Calculated density: 9.261 g/cm3


Stability check: which of them is most stable? ii.


i | LaTiAg | PBE | relaxed

a = 7.832 Å, b = 4.497 Å, c = 8.512 Å
α = 90.00°, β = 90.00°, γ = 90.00°
Fractional positions:
La1 0.045 0.250 0.828
La2 0.545 0.250 0.672
La3 0.955 0.750 0.172
La4 0.455 0.750 0.328
Ag1 0.740 0.750 0.866
Ag2 0.260 0.250 0.134
Ag3 0.240 0.750 0.634
Ag4 0.760 0.250 0.366
Ti1 0.895 0.750 0.550
Ti2 0.605 0.250 0.050
Ti3 0.105 0.250 0.450
Ti4 0.395 0.750 0.950

Properties
- Space-group type: Pnma (62)
- Calculated density: 6.527 g/cm3


ii | LaTiAg | PBE | relaxed

a = 4.844 Å, b = 6.360 Å, c = 5.247 Å
α = 101.61°, β = 117.49°, γ = 90.02°
Fractional positions:
La1 0.535 0.587 0.471
La2 0.896 0.873 0.193
Ag1 0.571 0.126 0.542
Ag2 0.247 0.053 0.894
Ti1 0.197 0.477 0.795
Ti2 0.850 0.354 0.100

Properties
- Space-group type: Cm (8)
- Calculated density: 7.006 g/cm3


Stability check: which of them is most stable? i.


i | LaTiAg | PBE | relaxed

a = 4.837 Å, b = 6.135 Å, c = 5.412 Å
α = 116.19°, β = 90.00°, γ = 90.00°
Fractional positions:
La1 0.878 0.744 0.441
La2 0.378 0.744 0.890
Ag1 0.878 0.336 0.807
Ag2 0.378 0.335 0.115
Ti1 0.878 0.155 0.218
Ti2 0.378 0.156 0.524

Properties
- Space-group type: Ama2 (40)
- Calculated density: 6.789 g/cm3


ii | LaTiAg | PBE | relaxed

a = 4.752 Å, b = 4.752 Å, c = 4.752 Å
α = 60.00°, β = 60.00°, γ = 60.00°
Fractional positions:
Ag1 0.750 0.750 0.750
Ti1 0.500 0.500 0.500
La1 0.250 0.250 0.250

Properties
- Space-group type: F-43m (216)
- Calculated density: 6.450 g/cm3


Stability check: which of them is most stable? i.


i | LaTiAg | PBE | relaxed

a = 5.315 Å, b = 7.252 Å, c = 5.123 Å
α = 69.29°, β = 118.77°, γ = 76.91°
Fractional positions:
La1 0.707 0.901 0.766
La2 0.581 0.551 0.378
Ti1 0.290 0.512 0.752
Ti2 0.056 0.382 0.199
Ag1 0.951 0.019 0.329
Ag2 0.245 0.105 0.932

Properties
- Space-group type: Cm (8)
- Calculated density: 6.905 g/cm3


ii | LaTiAg | PBE | relaxed

a = 4.880 Å, b = 6.002 Å, c = 6.002 Å
α = 92.93°, β = 65.95°, γ = 114.06°
Fractional positions:
La1 0.376 0.547 0.727
La2 0.876 0.939 0.119
Ti1 0.570 0.365 0.156
Ti2 0.070 0.510 0.301
Ag1 0.689 0.150 0.706
Ag2 0.189 0.960 0.516

Properties
- Space-group type: Cc (9)
- Calculated density: 6.740 g/cm3


iii | LaTiAg | PBE | relaxed

a = 5.141 Å, b = 5.141 Å, c = 5.958 Å
α = 90.00°, β = 90.00°, γ = 120.00°
Fractional positions:
La1 0.667 0.333 0.750
La2 0.333 0.667 0.250
Ti1 0.333 0.667 0.750
Ti2 0.667 0.333 0.250
Ag1 0.000 0.000 0.000
Ag2 0.000 0.000 0.500

Properties
- Space-group type: P6_3/mmc (194)
- Calculated density: 7.176 g/cm3


Stability check: which of them is most stable? ii.


i | LaTiAg | PBE | relaxed

a = 5.240 Å, b = 5.783 Å, c = 5.152 Å
α = 90.00°, β = 90.00°, γ = 63.08°
Fractional positions:
La1 0.587 0.745 0.171
La2 0.196 0.745 0.671
Ti1 0.824 0.158 0.171
Ti2 0.237 0.332 0.171
Ag1 0.919 0.363 0.671
Ag2 0.537 0.127 0.671

Properties
- Space-group type: Amm2 (38)
- Calculated density: 7.029 g/cm3


ii | LaTiAg | PBE | relaxed

a = 3.375 Å, b = 6.650 Å, c = 6.746 Å
α = 75.28°, β = 90.00°, γ = 104.74°
Fractional positions:
Ti1 0.341 0.373 0.441
Ti2 0.341 0.373 0.940
Ag1 0.960 0.612 0.631
Ag2 0.960 0.612 0.131
La1 0.657 0.006 0.282
La2 0.657 0.006 0.782

Properties
- Space-group type: I4mm (107)
- Calculated density: 6.926 g/cm3


iii | LaTiAg | PBE | relaxed

a = 3.295 Å, b = 5.184 Å, c = 8.811 Å
α = 109.77°, β = 83.89°, γ = 85.97°
Fractional positions:
Ti1 0.775 0.223 0.093
Ti2 0.284 0.314 0.360
Ag1 0.448 0.723 0.999
Ag2 0.658 0.557 0.638
La1 0.885 0.815 0.339
La2 0.109 0.144 0.778

Properties
- Space-group type: P1 (1)
- Calculated density: 6.993 g/cm3


Stability check: which of them is most stable? i.


i | LaTiAg | PBE | relaxed

a = 3.641 Å, b = 6.088 Å, c = 7.261 Å
α = 86.26°, β = 104.52°, γ = 72.67°
Fractional positions:
La1 0.912 0.844 0.324
La2 0.473 0.139 0.745
Ag1 0.721 0.597 0.695
Ag2 0.311 0.708 0.987
Ti1 0.055 0.322 0.090
Ti2 0.669 0.371 0.367

Properties
- Space-group type: Cm (8)
- Calculated density: 6.656 g/cm3


ii | LaTiAg | PBE | relaxed

a = 4.957 Å, b = 4.957 Å, c = 4.957 Å
α = 60.00°, β = 60.00°, γ = 60.00°
Fractional positions:
La1 0.000 0.000 0.000
Ag1 0.750 0.750 0.750
Ti1 0.250 0.250 0.250

Properties
- Space-group type: F-43m (216)
- Calculated density: 5.682 g/cm3


iii | LaTiAg | PBE | relaxed

a = 4.336 Å, b = 4.336 Å, c = 7.687 Å
α = 90.00°, β = 90.00°, γ = 90.00°
Fractional positions:
Ti1 0.500 0.000 0.867
Ti2 0.000 0.500 0.133
La1 0.000 0.000 0.500
La2 0.500 0.500 0.500
Ag1 0.500 0.000 0.195
Ag2 0.000 0.500 0.805

Properties
- Space-group type: P4/nmm (129)
- Calculated density: 6.772 g/cm3


Stability check: which of them is most stable? i.


i | LaTiAg3 | PBE | relaxed

a = 5.050 Å, b = 5.050 Å, c = 5.050 Å
α = 90.00°, β = 90.00°, γ = 90.00°
Fractional positions:
Ti1 0.000 0.000 0.000
Ag1 0.000 0.500 0.000
Ag2 0.500 0.000 0.000
Ag3 0.000 0.000 0.500
La1 0.500 0.500 0.500

Properties
- Space-group type: Pm-3m (221)
- Calculated density: 6.581 g/cm3


ii | LaTiAg3 | PBE | relaxed

a = 5.387 Å, b = 5.387 Å, c = 5.387 Å
α = 90.00°, β = 90.00°, γ = 90.00°
Fractional positions:
Ti1 0.500 0.500 0.500
La1 0.000 0.000 0.000
Ag1 0.500 0.000 0.000
Ag2 0.000 0.500 0.000
Ag3 0.000 0.000 0.500

Properties
- Space-group type: Pm-3m (221)
- Calculated density: 5.421 g/cm3


Stability check: which of them is most stable? i.